# 1
The following is a PBE calculation of an optimized crystal structure of BaTcIr, from the Open Quantum Materials Database.

Cell: 4.650 4.650 4.650 Å, 60.00 60.00 60.00°
Sites, in units of the cell vectors:
Tc  0.000  0.000  0.000
Ir  0.750  0.750  0.750
Ba  0.250  0.250  0.250

size of the total moment	1.033	μB per cell
space group	No. 216
calculated total energy	-17.786	eV for the cell shown
energy above the most stable polymorph in this dataset	0	kJ/mol of formula units
V	71.09	Å³/cell


# 2
The following is a PBE calculation of an optimized crystal structure of Cs2Ag2Cl5, from the Open Quantum Materials Database.

Cell: 5.090 5.090 10.980 Å, 90.00 90.00 90.00°
Sites, in units of the cell vectors:
Cl  0.500  0.000  0.222
Cl  0.500  0.000  0.778
Cl  0.000  0.500  0.778
Ag  0.000  0.000  0.747
Cs  0.500  0.500  0.500
Ag  0.000  0.000  0.253
Cl  0.000  0.000  0.500
Cs  0.500  0.500  0.000
Cl  0.000  0.500  0.222

space group	No. 123
calculated total energy	-26.970	eV for the cell shown
V	284.49	Å³/cell


# 3
The following is a PBE calculation of an optimized crystal structure of Li3PrSm2Sn3, from the Open Quantum Materials Database.

Cell: 4.754 4.754 11.393 Å, 90.00 90.00 120.00°
Sites, in units of the cell vectors:
Li  0.000  0.000  0.808
Sn  0.333  0.667  0.177
Li  0.333  0.667  0.500
Sm  0.667  0.333  0.663
Sn  0.333  0.667  0.823
Sn  0.000  0.000  0.500
Pr  0.667  0.333  0.000
Sm  0.667  0.333  0.337
Li  0.000  0.000  0.192

size of the total moment	0.001	μB per cell
space group	No. 187
calculated total energy	-37.677	eV for the cell shown
V	223.03	Å³/cell


# 4
The following is a PBE calculation of an optimized crystal structure of NdSmTm, from the Open Quantum Materials Database.

Cell: 5.462 5.462 5.462 Å, 60.00 60.00 60.00°
Sites, in units of the cell vectors:
Sm  0.750  0.750  0.750
Tm  0.000  0.000  0.000
Nd  0.250  0.250  0.250

energy of formation from the pure elements	0.687	eV/atom
size of the total moment	0.003	μB per cell
space group	No. 216
calculated total energy	-11.887	eV for the cell shown
energy above the most stable polymorph in this dataset	0	kJ/mol of formula units
V	115.25	Å³/cell